Zn2SnOsSe: relaxed, PBE.

**D(E_F)**: 0.772 states/eV per atom
**Calculated total energy**: -2.96 eV per atom
**E_form (uncorrected)**: 1290.3 meV per atom

Unit cell a=4.6264 b=5.5616 c=4.6264 alpha=90.00 beta=90.00 gamma=90.00
Last column: magnetic moment on the atom in μB.
Atoms (fractional coordinates):
Zn1 0.5000 0.0000 0.0000  -0.02
Zn2 0.0000 0.0000 0.5000  0.03
Sn1 0.0000 0.5000 0.0000  -0.04
Se1 0.0000 0.0000 0.0000  0.00
Os1 0.5000 0.5000 0.5000  1.76